[1]
First-principles (GGA-PBE) data for a geometry-optimized KDySb structure, as listed in the Open Quantum Materials Database.

Structure (POSCAR):
```
KDySb
1.0
-2.634 -4.247 1.793
-1.921 -0.038 4.949
-5.239 0.275 0.816
Dy K Sb
1 1 1
direct
0.250 0.250 0.250
0.000 0.000 0.000
0.750 0.750 0.750
```

Values from the calculation:
The value obtained for the theoretical density is 5.074 g/cm3. Its space group is F-43m (216). Its total energy is -2.873 eV per atom.



[2]
First-principles (GGA-PBE) data for a geometry-optimized CsReNO structure, as listed in the Open Quantum Materials Database.

Structure (POSCAR):
```
CsReNO
1.0
-0.221 6.193 1.840
-8.015 -1.465 3.971
2.528 -1.285 4.628
Cs N O Re
4 4 4 4
direct
0.524 0.345 0.016
0.024 0.655 0.016
0.976 0.345 0.516
0.476 0.655 0.516
0.336 0.028 0.167
0.836 0.972 0.167
0.164 0.028 0.667
0.664 0.972 0.667
0.020 0.271 0.014
0.520 0.729 0.014
0.480 0.271 0.514
0.980 0.729 0.514
0.069 0.066 0.006
0.569 0.934 0.006
0.431 0.066 0.506
0.931 0.934 0.506
```

Values from the calculation:
The value obtained for the theoretical density is 7.292 g/cm3. Its space group is Pca2_1 (29). As for the offset from the most stable computed form: 0.000 eV per atom.